Entry 1:
VASP calculation (GGA-PBE) on an optimized crystal structure of La5Pr3Dy.

Lattice parameters (Å, degrees): 9.1296 9.1296 15.7224 90.00 90.00 90.00
Closest atoms and distances in Å follow each position.
Space group I4/mcm (No. 140)
Symmetry-distinct sites (fractional):
La (0.0000, 0.0000, 0.0000)  6 Pr 3.66-3.93, 8 La 3.94
La (0.2082, 0.2918, 0.1394)  1 Pr 3.15, 1 Dy 3.20
Pr (0.0000, 0.0000, 0.2500)  10 La 3.71-3.93
Pr (0.1164, 0.3836, 0.5000)  1 Pr 3.01, 2 La 3.15
Dy (0.0000, 0.5000, 0.2500)  4 La 3.20

Properties
The energy of formation comes out at 0.251 eV/atom. Its magnetic moment is 0.0 μB per formula unit. The calculation puts the electronic total energy at -4.591 eV per atom. Its density of states at the Fermi level is 63.65 states/eV per cell.

---

Entry 2:
VASP calculation (GGA-PBE) on an optimized crystal structure of La7Pr3Dy2.

Lattice parameters (Å, degrees): 6.6088 3.6139 18.0954 90.00 95.97 90.00
Closest atoms and distances in Å follow each position.
Space group P2/m (No. 10)
Symmetry-distinct sites (fractional):
La (0.0000, 0.0000, 0.0000)  8 La 3.61-3.75, 4 Pr 3.77
La (0.2204, 0.5000, 0.1713)  1 Dy 3.58, 8 La 3.61-3.82, 3 Pr 3.69-3.77
La (0.2600, 0.5000, 0.4914)  2 La 3.16-3.48, 1 Dy 3.40
La (0.2712, 0.0000, 0.8311)  2 Dy 3.60, 7 La 3.61-3.82, 3 Pr 3.69-3.73
Pr (0.4547, 0.0000, 0.3362)  2 Pr 3.61, 7 La 3.68-3.92, 4 Dy 3.71-3.83
Pr (0.5000, 0.5000, 0.0000)  2 Pr 3.61, 10 La 3.73-3.77
Dy (0.0573, 0.5000, 0.6693)  5 La 3.40-3.61, 2 Dy 3.61, 2 Pr 3.71

Properties
The energy of formation comes out at 0.065 eV/atom. Its magnetic moment is 0.0 μB per formula unit. The calculation puts the electronic total energy at -4.772 eV per atom. Its density of states at the Fermi level is 18.83 states/eV per cell. For the energy above the most stable polymorph in this dataset, the calculation gives 0.0 meV per atom.

---

Which of these has the lowest energy of formation?
La7Pr3Dy2